A plane-wave DFT calculation with GGA-PBE was carried out for an optimized crystal structure of KMgW.

N(E_F) = 3.4 states/eV/cell
crystal system = trigonal
VASP energy = -4.240 eV per atom
DFT formation energy = 2.92 eV per formula unit
V = 67 Å³ per cell
energy relative to the lowest polymorph listed for this composition = 0.023 eV/f.u.

a = 2.948 Å, b = 2.948 Å, c = 8.841 Å
α = 90.00°, β = 90.00°, γ = 120.00°
Fractional coordinates of all 3 atoms:
W  0.333  0.667  0.642
Mg  0.667  0.333  0.369
K  0.000  0.000  0.989

A plane-wave DFT calculation with GGA-PBE was carried out for an optimized crystal structure of KMg2W.

N(E_F) = 2.7 states/eV/cell
crystal system = orthorhombic
VASP energy = -3.699 eV per atom
DFT formation energy = 2.44 eV per formula unit
V = 92 Å³ per cell
energy relative to the lowest polymorph listed for this composition = 0.000 eV/f.u.

a = 2.902 Å, b = 2.902 Å, c = 11.117 Å
α = 90.00°, β = 90.00°, γ = 99.85°
Fractional coordinates of all 4 atoms:
K  0.500  0.500  0.750
Mg  0.000  0.000  0.448
Mg  0.000  0.000  0.052
W  0.500  0.500  0.250

Question: What is the formula in the first record?
Answer: KMgW